(1)
13
Lattice="5.956 0.039 2.481 2.966 6.903 1.236 0.301 0.020 7.666" Properties=species:S:1:pos:R:3 comment="HoCd11Sn | the Alexandria database | GGA-PBE | relaxed" sg="No. 12" ef_mev_per_atom=-19 dos_ef_per_ev_cell=3.9 volume_a3_per_fu=309.1 pbc="T T T"
Cd 2.311 1.480 2.596
Ho 0.000 0.000 0.000
Cd 5.452 5.461 3.904
Cd 3.772 1.500 7.479
Cd 5.059 2.426 4.748
Cd 1.483 3.451 0.618
Cd 4.164 4.536 6.636
Cd 7.945 4.555 5.950
Cd 3.129 0.029 5.074
Cd 0.151 0.010 3.833
Sn 4.461 3.471 1.859
Cd 1.279 2.406 5.433
Cd 6.912 5.481 8.787

=====

(2)
6
Lattice="-0.965 -0.951 2.802 0.197 -6.148 -2.018 7.794 -0.567 2.491" Properties=species:S:1:pos:R:3 comment="KMo2 | the Alexandria database | GGA-PBE | relaxed" sg="No. 58" ef_mev_per_atom=1477 dos_ef_per_ev_cell=5.1 de_polymorph_ev_per_atom=0.839 volume_a3_per_fu=82.6 pbc="T T T"
Mo 0.660 -3.372 -0.046
Mo 2.368 -0.940 3.095
K 3.513 -3.833 1.637
Mo 4.462 -0.578 2.197
Mo 6.367 -4.294 3.321
K 0.000 0.000 0.000

=====

(3)
4
Lattice="-3.988 0.008 1.702 -1.474 3.523 2.054 -3.121 2.413 -1.801" Properties=species:S:1:pos:R:3 comment="ZnRe2Cl | the Alexandria database | GGA-PBE | relaxed" sg="No. 225" dos_ef_per_ev_cell=4.5 formation_energy_uncorrected_kj_per_mol_atoms=120.0 de_polymorph_ev_per_atom=1.170 volume_a3_per_fu=57.7 pbc="T T T"
Cl 0.000 0.000 0.000
Zn -4.292 2.972 0.977
Re -6.437 4.458 1.466
Re -2.146 1.486 0.489